[1]
BeAlTc after structural relaxation. Source: the Alexandria database, functional GGA-PBE.

a = 4.173 Å, b = 4.717 Å, c = 4.717 Å
α = 125.47°, β = 90.00°, γ = 90.00°
Atoms (fractional coordinates):
Tc1 0.750 0.556 0.051
Al1 0.250 0.267 0.130
Be1 0.250 0.571 0.779
Tc2 0.250 0.949 0.444
Al2 0.750 0.870 0.733
Be2 0.750 0.221 0.429

Summary:
E above lowest polymorph ... 0.062 eV per formula unit
SG ... Ama2, No. 40
DFT formation energy ... -0.202 eV per atom



[2]
Li2CdBOs after structural relaxation. Source: the Alexandria database, functional GGA-PBE.

a = 4.852 Å, b = 3.960 Å, c = 4.852 Å
α = 90.00°, β = 90.00°, γ = 90.00°
Last column: magnetic moment on the atom in μB.
Atoms (fractional coordinates):
Os1 0.000 0.000 0.000  0.26
Li1 0.500 0.000 0.000  0.00
Li2 0.000 0.000 0.500  0.00
Cd1 0.500 0.500 0.500  0.02
B1 0.000 0.500 0.000  -0.01

Summary:
SG ... P4/mmm, No. 123
DFT formation energy ... 0.738 eV per atom



[3]
TiTlSn2Cl8 after structural relaxation. Source: the Alexandria database, functional GGA-PBE.

a = 7.260 Å, b = 6.196 Å, c = 8.529 Å
α = 101.29°, β = 81.45°, γ = 86.00°
Last column: magnetic moment on the atom in μB.
Atoms (fractional coordinates):
Cl1 0.281 0.146 0.878  0.00
Cl2 0.626 0.729 0.520  0.00
Cl3 0.806 0.205 0.869  -0.01
Cl4 0.053 0.684 0.760  -0.01
Cl5 0.374 0.271 0.480  0.00
Sn1 0.606 0.495 0.240  0.01
Cl6 0.719 0.854 0.122  0.00
Cl7 0.947 0.316 0.240  -0.01
Tl1 0.000 0.000 0.500  0.00
Sn2 0.394 0.505 0.760  0.01
Cl8 0.194 0.795 0.131  -0.01
Ti1 0.000 0.000 0.000  0.88

Summary:
Energy relative to the elements, uncorrected ... -1358 kJ/mol of formula units
SG ... P-1, No. 2



[4]
CsBaUSe4 after structural relaxation. Source: the Alexandria database, functional GGA-PBE.

a = 7.728 Å, b = 7.777 Å, c = 9.351 Å
α = 90.00°, β = 114.41°, γ = 90.00°
Last column: magnetic moment on the atom in μB.
Atoms (fractional coordinates):
Se1 0.400 0.750 0.799  -0.06
U1 0.244 0.750 0.488  1.25
Se2 0.000 0.500 0.500  -0.05
Se3 0.083 0.750 0.166  -0.04
Se4 0.600 0.250 0.201  -0.06
Ba1 0.115 0.250 0.230  0.00
Se5 0.917 0.250 0.834  -0.04
Cs1 0.601 0.750 0.202  0.00
Se6 0.500 0.500 0.500  -0.05
Ba2 0.885 0.750 0.770  0.00
Cs2 0.399 0.250 0.798  0.00
Se7 0.500 0.000 0.500  -0.05
U2 0.756 0.250 0.512  1.25
Se8 0.000 0.000 0.500  -0.05

Summary:
Energy relative to the elements, uncorrected ... -961 kJ/mol of formula units
SG ... Cmcm, No. 63



Ordered calculated density results: 5.88, 5.83, 3.47, 5.35; unit Mg/m³.
Ordered VASP energy results: -6.1473, -3.7919, -3.9265, -5.4235; unit eV/atom.